[1]
The following is a DFT calculation (PBE) of a relaxed structure of ScCdAu2.

Energy of formation from the pure elements   -409.3 meV/atom
Calculated volume   87 Å³ per cell

```
ScCdAu2
1.0
-3.561 0.143 0.249
-1.711 -2.069 2.357
-1.148 5.060 6.317
Sc Cd Au
1 1 2
direct
0.667 0.667 0.000
0.500 0.500 0.500
0.254 0.254 0.237
0.079 0.079 0.763
```

[2]
The following is a DFT calculation (PBE) of a relaxed structure of Na3Hg4Au2.

Energy of formation from the pure elements   -257.0 meV/atom
Calculated volume   214 Å³ per cell

```
Na3Hg4Au2
1.0
-1.541 -4.711 -0.720
1.453 2.953 -5.010
6.785 -3.053 5.456
Au Na Hg
2 3 4
direct
0.392 0.783 0.722
0.608 0.217 0.278
0.336 0.673 0.332
0.000 0.000 0.000
0.664 0.327 0.668
0.081 0.162 0.410
0.919 0.838 0.590
0.305 0.611 0.967
0.695 0.389 0.033
```

> calculated volume of number 2 (Na3Hg4Au2)?

214 Å³ per cell